No. 1
The following is a PBE calculation of a geometry-optimized ZnAs5 structure, from the Alexandria database.

abc: 5.567 5.567 5.567
angles: 60.00 60.00 60.00
Positions (direct):
Zn (0.000, 0.000, 0.000)
As (0.374, 0.374, 0.374)
As (0.374, 0.374, 0.878)
As (0.374, 0.878, 0.374)
As (0.750, 0.750, 0.750)
As (0.878, 0.374, 0.374)

Properties
Its raw total energy is -3.5453 eV per atom. Its distance to the lowest polymorph of the same formula is 406 meV per atom. Its space-group type is F-43m (216). The value obtained for the calculated formation energy is 52.26 kJ per mole of atoms. The calculation puts the total moment at 0.0000 μB/atom.

No. 2
The following is a PBE calculation of a geometry-optimized ZnAs structure, from the Alexandria database.

abc: 3.714 3.714 7.395
angles: 90.00 90.00 120.00
Positions (direct):
Zn (0.333, 0.667, 0.000)
Zn (0.667, 0.333, 0.500)
As (0.333, 0.667, 0.328)
As (0.667, 0.333, 0.828)

Properties
Its raw total energy is -2.9012 eV per atom. Its space-group type is P6_3mc (186). The value obtained for the calculated formation energy is 5.84 kJ per mole of atoms. The calculation puts the total moment at 0.0000 μB/atom.

Question: What is the formula in the second record?
Answer: ZnAs

Question: raw total energy of number 1 (ZnAs5)?
Answer: -3.5453 eV per atom

Question: calculated formation energy of number 1 (ZnAs5)?
Answer: 52.26 kJ per mole of atoms